VASP calculation (PBE) on an optimized crystal structure of Y2PuTc.

Energy of formation in eV per atom: -0.08
DFT total energy in eV/f.u.: -37.96

CIF file:
```
data_Y2PuTc
_cell_length_a 6.278
_cell_length_b 7.180
_cell_length_c 9.477
_cell_angle_alpha 90.00
_cell_angle_beta 90.00
_cell_angle_gamma 90.00
_symmetry_space_group_name_H-M 'P 1'
_symmetry_Int_Tables_number 1
_symmetry_space_group_name_Hall 'P 1'
loop_
_atom_site_label
_atom_site_fract_x
_atom_site_fract_y
_atom_site_fract_z
Y1 0.172 0.676 0.065
Y2 0.328 0.176 0.435
Y3 0.828 0.324 0.565
Y4 0.672 0.824 0.935
Y5 0.828 0.324 0.935
Y6 0.672 0.824 0.565
Y7 0.172 0.676 0.435
Y8 0.328 0.176 0.065
Pu1 0.655 0.548 0.250
Pu2 0.845 0.048 0.250
Pu3 0.345 0.452 0.750
Pu4 0.155 0.952 0.750
Tc1 0.993 0.365 0.250
Tc2 0.507 0.865 0.250
Tc3 0.007 0.635 0.750
Tc4 0.493 0.135 0.750
```